Entry 1:
! LaIr2Rh | the Alexandria database | SCAN | single point on PBEsol structure; values from VASP
&SYSTEM
  ibrav = 0, nat = 4, ntyp = 3
/
ATOMIC_SPECIES
La 138.91 La.upf
Ir 192.22 Ir.upf
Rh 102.91 Rh.upf
CELL_PARAMETERS angstrom
2.796 0.000 0.000
0.000 3.871 0.000
0.000 0.000 6.474
ATOMIC_POSITIONS crystal
La 0.000 0.000 0.000
Ir 0.500 0.500 0.303
Ir 0.500 0.500 0.697
Rh 0.000 0.000 0.500
! ΔH_f (0 K) = -0.05 eV/atom
! Total magnetic moment = 0.000 μB/atom
! Relative energy among the computed polymorphs = 0.0000 eV/atom

---

Entry 2:
! La2IrRh | the Alexandria database | SCAN | single point on PBEsol structure; values from VASP
&SYSTEM
  ibrav = 0, nat = 4, ntyp = 3
/
ATOMIC_SPECIES
La 138.91 La.upf
Ir 192.22 Ir.upf
Rh 102.91 Rh.upf
CELL_PARAMETERS angstrom
4.153 0.000 0.000
0.000 1.977 5.542
0.000 -1.977 5.542
ATOMIC_POSITIONS crystal
La 0.000 0.000 0.000
La 0.500 0.282 0.282
Ir 0.000 0.725 0.725
Rh 0.500 0.553 0.553
! ΔH_f (0 K) = -0.81 eV/atom
! Total magnetic moment = 0.000 μB/atom

---

Which formula does entry 1 have?
LaIr2Rh

---

Among the records above, which one has the lowest ΔH_f (0 K)?
La2IrRh

---

Look up the total magnetic moment of the first one.
0.000 μB/atom

---

Please write out number 2 again, unchanged.
! La2IrRh | the Alexandria database | SCAN | single point on PBEsol structure; values from VASP
&SYSTEM
  ibrav = 0, nat = 4, ntyp = 3
/
ATOMIC_SPECIES
La 138.91 La.upf
Ir 192.22 Ir.upf
Rh 102.91 Rh.upf
CELL_PARAMETERS angstrom
4.153 0.000 0.000
0.000 1.977 5.542
0.000 -1.977 5.542
ATOMIC_POSITIONS crystal
La 0.000 0.000 0.000
La 0.500 0.282 0.282
Ir 0.000 0.725 0.725
Rh 0.500 0.553 0.553
! ΔH_f (0 K) = -0.81 eV/atom
! Total magnetic moment = 0.000 μB/atom